A geometry-optimized Sr2TeRu structure. Source: the Alexandria database, functional GGA-PBE.

Its crystal system is tetragonal. As for the uncorrected formation energy: -0.227 eV per atom. The value obtained for the density of states at the Fermi level is 4.63 states/eV per cell. As for the total energy: -4.17 eV per atom.

It has space group P4/mmm (No. 123), with a = 4.021 Å, b = 4.021 Å, c = 7.042 Å, α = 90.00°, β = 90.00° and γ = 90.00°. The inequivalent atoms are Sr at (0.000, 0.000, 0.240), Te at (0.500, 0.500, 0.500) and Ru at (0.500, 0.500, 0.000).

A geometry-optimized Sr2TeRu structure. Source: the Alexandria database, functional GGA-PBE.

Its crystal system is tetragonal. As for the uncorrected formation energy: 0.279 eV per atom. The value obtained for the density of states at the Fermi level is 18.51 states/eV per cell. As for the total energy: -3.67 eV per atom.

It has space group I-42d (No. 122), with a = 6.299 Å, b = 6.299 Å, c = 17.513 Å, α = 90.00°, β = 90.00° and γ = 90.00°. The inequivalent atoms are Sr at (0.220, 0.250, 0.125), Te at (0.000, 0.000, 0.500) and Ru at (0.000, 0.000, 0.000).

A geometry-optimized SrTe2Ru structure. Source: the Alexandria database, functional GGA-PBE.

For the polymorph energy (0 for the lowest one), the calculation gives 214 meV/atom. Its crystal system is orthorhombic. As for the uncorrected formation energy: -0.448 eV per atom. The value obtained for the density of states at the Fermi level is 6.22 states/eV per cell. As for the total energy: -4.76 eV per atom.

It has space group Immm (No. 71), with a = 4.080 Å, b = 6.303 Å, c = 8.720 Å, α = 90.00°, β = 90.00° and γ = 90.00°. The inequivalent atoms are Sr at (0.000, 0.000, 0.000), Te at (0.000, 0.500, 0.191) and Ru at (0.000, 0.000, 0.500).

A geometry-optimized SrTe2Ru structure. Source: the Alexandria database, functional GGA-PBE.

For the polymorph energy (0 for the lowest one), the calculation gives 532 meV/atom. Its crystal system is cubic. As for the uncorrected formation energy: -0.130 eV per atom. The value obtained for the density of states at the Fermi level is 16.95 states/eV per cell. As for the total energy: -4.44 eV per atom.

It has space group Fm-3m (No. 225), with a = 7.335 Å, b = 7.335 Å, c = 7.335 Å, α = 90.00°, β = 90.00° and γ = 90.00°. The inequivalent atoms are Sr at (0.000, 0.000, 0.000), Te at (0.250, 0.250, 0.250) and Ru at (0.000, 0.000, 0.500).

A geometry-optimized Sr2TeRu structure. Source: the Alexandria database, functional GGA-PBE.

Its crystal system is trigonal. As for the uncorrected formation energy: -0.081 eV per atom. The value obtained for the density of states at the Fermi level is 20.04 states/eV per cell. As for the total energy: -4.03 eV per atom.

It has space group R-3m (No. 166, hexagonal axes), with a = 4.5101 Å, b = 4.5101 Å, c = 23.9195 Å, α = 90.00°, β = 90.00° and γ = 120.00°. The inequivalent atoms are Sr at (0.0000, 0.0000, 0.2493), Te at (0.0000, 0.0000, 0.0000) and Ru at (0.0000, 0.0000, 0.5000).

A geometry-optimized SrTe2Ru structure. Source: the Alexandria database, functional GGA-PBE.

For the polymorph energy (0 for the lowest one), the calculation gives 287 meV/atom. Its crystal system is orthorhombic. As for the uncorrected formation energy: -0.375 eV per atom. The value obtained for the density of states at the Fermi level is 5.06 states/eV per cell. As for the total energy: -4.69 eV per atom.

It has space group Amm2 (No. 38), with a = 4.528 Å, b = 4.760 Å, c = 12.046 Å, α = 90.00°, β = 90.00° and γ = 90.00°. The inequivalent atoms are Sr at (0.000, 0.000, 0.000), Te at (0.000, 0.000, 0.709), Te at (0.500, 0.000, 0.408) and Ru at (0.500, 0.000, 0.618).

A geometry-optimized Sr4TeRu structure. Source: the Alexandria database, functional GGA-PBE.

Its crystal system is cubic. As for the uncorrected formation energy: 0.664 eV per atom. The value obtained for the density of states at the Fermi level is 23.87 states/eV per cell. As for the total energy: -2.53 eV per atom.

It has space group F-43m (No. 216), with a = 9.466 Å, b = 9.466 Å, c = 9.466 Å, α = 90.00°, β = 90.00° and γ = 90.00°. The inequivalent atoms are Sr at (0.124, 0.124, 0.376), Te at (0.000, 0.000, 0.000) and Ru at (0.250, 0.250, 0.750).

A geometry-optimized Sr2TeRu structure. Source: the Alexandria database, functional GGA-PBE.

Its crystal system is orthorhombic. As for the uncorrected formation energy: -0.395 eV per atom. The value obtained for the density of states at the Fermi level is 4.67 states/eV per cell. As for the total energy: -4.34 eV per atom.

It has space group Amm2 (No. 38), with a = 4.205 Å, b = 4.838 Å, c = 11.840 Å, α = 90.00°, β = 90.00° and γ = 90.00°. The inequivalent atoms are Sr at (0.000, 0.000, 0.000), Sr at (0.500, 0.000, 0.285), Te at (0.000, 0.000, 0.699) and Ru at (0.500, 0.000, 0.565).

A geometry-optimized SrTe2Ru structure. Source: the Alexandria database, functional GGA-PBE.

For the polymorph energy (0 for the lowest one), the calculation gives 819 meV/atom. Its crystal system is trigonal. As for the uncorrected formation energy: 0.157 eV per atom. The value obtained for the density of states at the Fermi level is 19.26 states/eV per cell. As for the total energy: -4.15 eV per atom.

It has space group R-3m (No. 166, hexagonal axes), with a = 4.8951 Å, b = 4.8951 Å, c = 25.9976 Å, α = 90.00°, β = 90.00° and γ = 120.00°. The inequivalent atoms are Sr at (0.0000, 0.0000, 0.0000), Te at (0.0000, 0.0000, 0.4010) and Ru at (0.0000, 0.0000, 0.5000).

A geometry-optimized SrTe2Ru structure. Source: the Alexandria database, functional GGA-PBE.

For the polymorph energy (0 for the lowest one), the calculation gives 0 meV/atom. Its crystal system is trigonal. As for the uncorrected formation energy: -0.662 eV per atom. The value obtained for the density of states at the Fermi level is 0.24 states/eV per cell. As for the total energy: -4.97 eV per atom.

It has space group R-3m (No. 166, hexagonal axes), with a = 4.2887 Å, b = 4.2887 Å, c = 19.9489 Å, α = 90.00°, β = 90.00° and γ = 120.00°. The inequivalent atoms are Sr at (0.0000, 0.0000, 0.0000), Te at (0.0000, 0.0000, 0.2267) and Ru at (0.0000, 0.0000, 0.5000).

A geometry-optimized SrTe2Ru structure. Source: the Alexandria database, functional GGA-PBE.

For the polymorph energy (0 for the lowest one), the calculation gives 435 meV/atom. Its crystal system is tetragonal. As for the uncorrected formation energy: -0.227 eV per atom. The value obtained for the density of states at the Fermi level is 5.52 states/eV per cell. As for the total energy: -4.54 eV per atom.

It has space group P4mm (No. 99), with a = 3.940 Å, b = 3.940 Å, c = 7.592 Å, α = 90.00°, β = 90.00° and γ = 90.00°. The inequivalent atoms are Sr at (0.000, 0.000, 0.000), Te at (0.000, 0.000, 0.574), Te at (0.500, 0.500, 0.199) and Ru at (0.500, 0.500, 0.544).

A geometry-optimized Sr2TeRu structure. Source: the Alexandria database, functional GGA-PBE.

Its crystal system is orthorhombic. As for the uncorrected formation energy: -0.312 eV per atom. The value obtained for the density of states at the Fermi level is 0.38 states/eV per cell. As for the total energy: -4.26 eV per atom.

It has space group Imm2 (No. 44), with a = 3.677 Å, b = 5.089 Å, c = 12.854 Å, α = 90.00°, β = 90.00° and γ = 90.00°. The inequivalent atoms are Sr at (0.000, 0.000, 0.000), Sr at (0.000, 0.500, 0.213), Te at (0.000, 0.500, 0.828) and Ru at (0.000, 0.000, 0.476).

For the records above, the corresponding total moment values read 0.934; 2.000; 0.000; 0.000; 2.007; 0.708; 0.205; 0.000; 3.917; 0.000; 0.005; 0.000 μB/f.u..